VASP calculation (PBE) on an optimized crystal structure of PmHoHf.

Cell and atoms, written as POSCAR:
```
PmHoHf
1.0
0.0000 3.6833 3.6833
3.6833 0.0000 3.6833
3.6833 3.6833 0.0000
Pm Ho Hf
1 1 1
Direct
0.0000 0.0000 0.0000
0.5000 0.5000 0.5000
0.7500 0.7500 0.7500
```

- offset from the most stable computed form (kJ/mol of formula units) = 0
- volume (Å³ per atom) = 33.31
- DFT formation energy (eV per atom) = 0.85